Entry 1:
## Nd6TlCd3 (PBE)

Data for crystalline Nd6TlCd3 at its relaxed geometry.

## Properties
As for the space group: No. 11. The value obtained for the density is 7.79 g/cm³. As for the total DFT energy (no corrections): -3.612 eV per atom. For the energy of formation from the pure elements, the calculation gives -232 kJ/mol of formula units.

POSCAR file:
```
Nd6TlCd3
1.0
-1.7200 2.5244 4.5058
3.4620 -7.1689 5.3380
8.7795 8.1656 -1.2234
Nd Tl Cd
12 2 6
Direct
0.2500 0.4608 0.0862
0.7500 0.5392 0.9138
0.2500 0.1303 0.1565
0.7500 0.8697 0.8435
0.2500 0.6583 0.6757
0.7500 0.3417 0.3243
0.2500 0.2634 0.5047
0.7500 0.7366 0.4953
0.2500 0.8368 0.3008
0.7500 0.1632 0.6992
0.2500 0.0933 0.8753
0.7500 0.9067 0.1247
0.2500 0.9556 0.5941
0.7500 0.0444 0.4059
0.2500 0.5300 0.3726
0.7500 0.4700 0.6274
0.2500 0.3894 0.7867
0.7500 0.6106 0.2133
0.2500 0.7696 0.9745
0.7500 0.2304 0.0255
```

Entry 2:
## Nd4Tl5Cd (PBE)

Data for crystalline Nd4Tl5Cd at its relaxed geometry.

## Properties
As for the space group: No. 12. For the relative energy among the computed polymorphs, the calculation gives 0 meV per atom. The value obtained for the density is 9.75 g/cm³. As for the total DFT energy (no corrections): -3.514 eV per atom. For the energy of formation from the pure elements, the calculation gives -321 kJ/mol of formula units.

POSCAR file:
```
Nd4Tl5Cd
1.0
-2.5334 0.3413 4.6768
4.5843 -3.8906 2.7674
4.1502 7.8459 -1.3614
Nd Tl Cd
4 5 1
Direct
0.6960 0.3159 0.3919
0.0916 0.8117 0.1831
0.3040 0.6841 0.6081
0.9084 0.1883 0.8169
0.2898 0.1770 0.5795
0.1004 0.3226 0.2007
0.8996 0.6774 0.7993
0.5000 0.5000 0.0000
0.7102 0.8230 0.4205
0.5000 0.0000 0.0000
```

Entry 3:
## Nd8TlCd2 (PBE)

Data for crystalline Nd8TlCd2 at its relaxed geometry.

## Properties
As for the space group: No. 12. The value obtained for the density is 7.47 g/cm³. As for the total DFT energy (no corrections): -4.025 eV per atom. For the energy of formation from the pure elements, the calculation gives -187 kJ/mol of formula units.

POSCAR file:
```
Nd8TlCd2
1.0
5.5189 0.0000 0.0000
0.0000 8.8390 -0.3208
-2.7594 -4.0749 7.3668
Nd Tl Cd
8 1 2
Direct
0.4079 0.5502 0.8158
0.6816 0.9505 0.3631
0.8612 0.8102 0.7223
0.9300 0.2795 0.8601
0.1388 0.1898 0.2777
0.3184 0.0495 0.6369
0.5921 0.4498 0.1842
0.0700 0.7205 0.1399
0.5000 0.0000 0.0000
0.7730 0.3844 0.5460
0.2270 0.6156 0.4540
```

Entry 4:
## NdTl2Cd2 (PBE)

Data for crystalline NdTl2Cd2 at its relaxed geometry.

## Properties
As for the space group: No. 63. The value obtained for the density is 9.76 g/cm³. As for the total DFT energy (no corrections): -2.482 eV per atom. For the energy of formation from the pure elements, the calculation gives -104 kJ/mol of formula units.

POSCAR file:
```
NdTl2Cd2
1.0
4.6537 0.0000 -0.8272
0.0000 4.7182 0.0000
-0.2488 0.0000 12.1044
Nd Tl Cd
2 4 4
Direct
0.3572 0.2500 0.7145
0.6428 0.7500 0.2855
0.7497 0.2500 0.4994
0.2503 0.7500 0.5006
0.8608 0.7500 0.7216
0.1392 0.2500 0.2784
0.0441 0.7500 0.0883
0.4599 0.7500 0.9198
0.9559 0.2500 0.9117
0.5401 0.2500 0.0802
```

Entry 5:
## Nd8Tl2Cd (PBE)

Data for crystalline Nd8Tl2Cd at its relaxed geometry.

## Properties
As for the space group: No. 12. For the relative energy among the computed polymorphs, the calculation gives 31 meV per atom. The value obtained for the density is 7.77 g/cm³. As for the total DFT energy (no corrections): -4.129 eV per atom. For the energy of formation from the pure elements, the calculation gives -157 kJ/mol of formula units.

POSCAR file:
```
Nd8Tl2Cd
1.0
5.4034 0.0000 0.0000
0.0000 7.0504 0.1239
-2.7017 -2.8645 9.3447
Nd Tl Cd
8 2 1
Direct
0.4073 0.5255 0.8146
0.6594 0.9848 0.3188
0.7956 0.6854 0.5911
0.9875 0.2348 0.9749
0.2044 0.3146 0.4089
0.3406 0.0152 0.6812
0.5927 0.4745 0.1854
0.0125 0.7652 0.0251
0.8218 0.2548 0.6437
0.1782 0.7452 0.3563
0.5000 0.0000 0.0000
```

Entry 6:
## NdTlCd4 (PBE)

Data for crystalline NdTlCd4 at its relaxed geometry.

## Properties
As for the space group: No. 63. For the relative energy among the computed polymorphs, the calculation gives 0 meV per atom. The value obtained for the density is 8.65 g/cm³. As for the total DFT energy (no corrections): -2.006 eV per atom. For the energy of formation from the pure elements, the calculation gives -120 kJ/mol of formula units.

POSCAR file:
```
NdTlCd4
1.0
5.0948 -0.0017 0.0005
0.0014 6.2707 2.2733
-0.0012 0.0628 9.6120
Nd Tl Cd
2 2 8
Direct
0.7500 0.1202 0.2597
0.2500 0.8798 0.7403
0.7500 0.6221 0.2558
0.2500 0.3779 0.7442
0.2500 0.7975 0.4146
0.2500 0.9641 0.0812
0.7500 0.7120 0.5854
0.7500 0.5453 0.9188
0.7500 0.2025 0.5854
0.2500 0.2880 0.4146
0.7500 0.0359 0.9188
0.2500 0.4547 0.0812
```